Entry 1:
DFT (PBEsol) results for Be2TlIrSe after structural relaxation.

Cell lengths 4.191, 4.191, 4.879 Å; angles 90.00, 90.00, 90.00 degrees
Fractional coordinates of all 5 atoms:
Be 0.000 0.500 0.000
Be 0.500 0.000 0.000
Tl 0.000 0.000 0.500
Ir 0.500 0.500 0.500
Se 0.500 0.500 0.000



Entry 2:
DFT (PBEsol) results for Be4SiIr after structural relaxation.

Cell lengths 4.298, 4.298, 4.298 Å; angles 60.00, 60.00, 60.00 degrees
Fractional coordinates of all 6 atoms:
Be 0.124 0.124 0.124
Be 0.124 0.124 0.628
Be 0.124 0.628 0.124
Be 0.628 0.124 0.124
Si 0.500 0.500 0.500
Ir 0.750 0.750 0.750



| no. | raw formation energy (meV per atom) |
| --- | --- |
| 1 | 834 |
| 2 | -353 |